[1]
KEuHfTiO6 after structural relaxation, computed with PBE.

abc: 8.0608 8.0608 8.0608
angles: 90.00 90.00 90.00
Last column: nearest neighbours and their distance in Å.
Space group F-43m (No. 216)
Symmetry-distinct sites (fractional):
K 0.0000 0.0000 0.0000 (multiplicity 4)  12 O 2.85
Eu 0.0000 0.0000 0.5000 (multiplicity 4)  12 O 2.85
Hf 0.2500 0.2500 0.7500 (multiplicity 4)  6 O 2.07
Ti 0.2500 0.2500 0.2500 (multiplicity 4)  6 O 1.96
O 0.0062 0.2500 0.2500 (multiplicity 24)  1 Ti 1.96, 1 Hf 2.07

Results
Calculated volume (Å³/f.u.): 130.9
Uncorrected formation energy (eV per formula unit): -28.8
Size of the total moment (μB per formula unit): 6.0



[2]
LiPa2In9 after structural relaxation, computed with PBE.

abc: 4.6189 4.6189 13.7895
angles: 90.00 90.00 90.00
Last column: nearest neighbours and their distance in Å.
Space group P4/mmm (No. 123)
Symmetry-distinct sites (fractional):
Li 0.0000 0.0000 0.0000 (multiplicity 1)  12 In 3.17-3.27
Pa 0.0000 0.0000 0.3311 (multiplicity 2)  12 In 3.27-3.32
In 0.0000 0.5000 0.1579 (multiplicity 4)  2 Li 3.17, 8 In 3.17-3.34, 2 Pa 3.32
In 0.0000 0.5000 0.5000 (multiplicity 2)  8 In 3.26-3.27, 4 Pa 3.28
In 0.5000 0.5000 0.0000 (multiplicity 1)  8 In 3.17, 4 Li 3.27
In 0.5000 0.5000 0.3333 (multiplicity 2)  8 In 3.26-3.34, 4 Pa 3.27

Results
Calculated volume (Å³/f.u.): 294.2
E_form (eV per atom): -0.11
Size of the total moment (μB per formula unit): 1.6



[3]
Cs2NaGeP2 after structural relaxation, computed with PBE.

abc: 6.8904 16.3554 6.6213
angles: 90.00 90.00 90.00
Last column: nearest neighbours and their distance in Å.
Space group Ibam (No. 72)
Symmetry-distinct sites (fractional):
Cs 0.2368 0.1727 0.0000 (multiplicity 8)  4 P 3.55-3.96, 2 Na 3.66, 2 Ge 3.74
Na 0.0000 0.0000 0.2500 (multiplicity 4)  4 P 2.94
Ge 0.0000 0.5000 0.2500 (multiplicity 4)  4 P 2.55
P 0.2051 0.4186 0.0000 (multiplicity 8)  2 Ge 2.55

Results
Calculated volume (Å³/f.u.): 186.5
E_form (eV per atom): -0.28
Size of the total moment (μB per formula unit): 0.0